Computed, not measured: a relaxed CaTh2Pa crystal at the GGA-PBE level of DFT.

```
CaTh2Pa
1.0
-3.283 0.215 1.105
-2.585 -1.159 -2.005
-0.935 -11.650 4.935
Ca Pa Th
1 1 2
Cartesian
0.000 0.000 0.000
-3.401 -6.297 2.017
-1.219 -8.503 3.482
-5.584 -4.091 0.553
```

Output
Raw total energy ... -6.270 eV per atom
ρ ... 9.34 Mg/m³
Total magnetic moment ... 0.00 μB per cell
Energy relative to the elements ... 314 meV/atom